# 1
# Pu2TlPd

An optimized crystal structure of Pu2TlPd (PBE-GGA, Alexandria).

Unit cell a=9.6172 b=9.6172 c=9.6172 alpha=21.55 beta=21.55 gamma=21.55
Element x y z (fractional)
Pu (0.0000, 0.0000, 0.0000)
Pu (0.1896, 0.1896, 0.1896)
Tl (0.4280, 0.4280, 0.4280)
Pd (0.5952, 0.5952, 0.5952)

Calculated values
Crystal system: trigonal
DOS(E_F): 18.4 states/eV/f.u.
Density: 12.616 g cm⁻³
ΔE_f: -0.20 eV per formula unit
Offset from the most stable computed form: 0.571 eV/f.u.



# 2
# Ac5ErIr4

An optimized crystal structure of Ac5ErIr4 (PBE-GGA, Alexandria).

Unit cell a=9.5255 b=9.5255 c=8.2864 alpha=104.66 beta=104.66 gamma=26.32
Element x y z (fractional)
Ac (0.0000, 0.0000, 0.0000)
Ac (0.3336, 0.3336, 0.6472)
Ac (0.3404, 0.3404, 0.1725)
Ac (0.6596, 0.6596, 0.8275)
Ac (0.6664, 0.6664, 0.3528)
Er (0.0000, 0.0000, 0.5000)
Ir (0.1665, 0.1665, 0.5999)
Ir (0.4980, 0.4980, 0.7393)
Ir (0.5020, 0.5020, 0.2607)
Ir (0.8335, 0.8335, 0.4001)

Calculated values
Crystal system: monoclinic
DOS(E_F): 6.1 states/eV/f.u.
Density: 10.682 g cm⁻³
ΔE_f: -5.72 eV per formula unit



# 3
# LiPrCu2Ge2

An optimized crystal structure of LiPrCu2Ge2 (PBE-GGA, Alexandria).

Unit cell a=4.2036 b=4.2036 c=6.8869 alpha=90.00 beta=90.00 gamma=120.00
Element x y z (fractional)
Li (0.0000, 0.0000, 0.0000)
Pr (0.0000, 0.0000, 0.5000)
Cu (0.3333, 0.6667, 0.1609)
Cu (0.6667, 0.3333, 0.8391)
Ge (0.3333, 0.6667, 0.7853)
Ge (0.6667, 0.3333, 0.2147)

Calculated values
Crystal system: trigonal
DOS(E_F): 3.4 states/eV/f.u.
Density: 6.621 g cm⁻³
ΔE_f: -2.89 eV per formula unit



# 4
# PPd3Pb2

An optimized crystal structure of PPd3Pb2 (PBE-GGA, Alexandria).

Unit cell a=6.9842 b=6.9842 c=5.4793 alpha=93.15 beta=93.15 gamma=72.16
Element x y z (fractional)
P (0.1510, 0.8490, 0.7500)
P (0.8490, 0.1510, 0.2500)
Pd (0.1237, 0.1392, 0.0075)
Pd (0.1392, 0.1237, 0.5075)
Pd (0.4279, 0.5721, 0.7500)
Pd (0.5721, 0.4279, 0.2500)
Pd (0.8608, 0.8763, 0.4925)
Pd (0.8763, 0.8608, 0.9925)
Pb (0.1596, 0.5157, 0.2658)
Pb (0.4843, 0.8404, 0.2342)
Pb (0.5157, 0.1596, 0.7658)
Pb (0.8404, 0.4843, 0.7342)

Calculated values
Crystal system: monoclinic
DOS(E_F): 3.4 states/eV/f.u.
Density: 10.004 g cm⁻³
ΔE_f: -1.52 eV per formula unit



Q: Among the records above, which one has the highest density?
A: Pu2TlPd



Q: Among the records above, which one has the highest density?
A: Pu2TlPd



Q: ΔE_f of number 3 (LiPrCu2Ge2)?
A: -2.89 eV per formula unit